Entry 1:
# RbMnRu2Au | Alexandria via LeMat-Bulk | PBE | optimized geometry
# M_tot: 0.531 μB per atom
# DFT formation energy: 1.487 eV/atom
data_RbMnRu2Au
_chemical_formula_sum 'Rb1 Mn1 Ru2 Au1'
_cell_length_a 4.477
_cell_length_b 4.477
_cell_length_c 5.743
_cell_angle_alpha 90.00
_cell_angle_beta 90.00
_cell_angle_gamma 90.00
_symmetry_space_group_name_H-M 'P 4/m m m'
_symmetry_Int_Tables_number 123
_symmetry_space_group_name_Hall '-P 4 2'
loop_
_atom_site_label
_atom_site_fract_x
_atom_site_fract_y
_atom_site_fract_z
_atom_site_occupancy
Rb1 0.000 0.000 0.000 1
Mn1 0.000 0.000 0.500 1
Ru1 0.000 0.500 0.500 1
Au1 0.500 0.500 0.000 1

Entry 2:
# RbMnAuS2 | Alexandria via LeMat-Bulk | PBE | optimized geometry
# Uncorrected formation energy: 0.158 eV/atom
# M_tot: 0.729 μB per atom
data_RbMnAuS2
_chemical_formula_sum 'Rb1 Mn1 Au1 S2'
_cell_length_a 4.361
_cell_length_b 4.361
_cell_length_c 7.396
_cell_angle_alpha 90.00
_cell_angle_beta 90.00
_cell_angle_gamma 90.00
_symmetry_space_group_name_H-M 'P 4/m m m'
_symmetry_Int_Tables_number 123
_symmetry_space_group_name_Hall '-P 4 2'
loop_
_atom_site_label
_atom_site_fract_x
_atom_site_fract_y
_atom_site_fract_z
_atom_site_occupancy
Rb1 0.000 0.000 0.000 1
Mn1 0.000 0.000 0.500 1
Au1 0.500 0.500 0.000 1
S1 0.000 0.500 0.500 1

Entry 3:
# RbMnAuS2 | Alexandria via LeMat-Bulk | PBE | optimized geometry
# Uncorrected formation energy: -0.686 eV/atom
# M_tot: 1.000 μB per atom
data_RbMnAuS2
_chemical_formula_sum 'Rb2 Mn2 Au2 S4'
_cell_length_a 7.380
_cell_length_b 5.826
_cell_length_c 6.470
_cell_angle_alpha 90.00
_cell_angle_beta 109.59
_cell_angle_gamma 90.00
_symmetry_space_group_name_H-M 'P 1 2/c 1'
_symmetry_Int_Tables_number 13
_symmetry_space_group_name_Hall '-P 2yc'
loop_
_atom_site_label
_atom_site_fract_x
_atom_site_fract_y
_atom_site_fract_z
_atom_site_occupancy
Rb1 0.000 0.222 0.250 1
Mn1 0.500 0.494 0.750 1
Au1 0.500 0.000 0.000 1
S1 0.285 0.309 0.920 1

Entry 4:
# RbMn2AuSe | Alexandria via LeMat-Bulk | PBE | optimized geometry
# Uncorrected formation energy: 0.361 eV/atom
# M_tot: 1.605 μB per atom
data_RbMn2AuSe
_chemical_formula_sum 'Rb1 Mn2 Au1 Se1'
_cell_length_a 4.760
_cell_length_b 4.760
_cell_length_c 6.565
_cell_angle_alpha 90.00
_cell_angle_beta 90.00
_cell_angle_gamma 90.00
_symmetry_space_group_name_H-M 'P 4/m m m'
_symmetry_Int_Tables_number 123
_symmetry_space_group_name_Hall '-P 4 2'
loop_
_atom_site_label
_atom_site_fract_x
_atom_site_fract_y
_atom_site_fract_z
_atom_site_occupancy
Rb1 0.000 0.000 0.000 1
Mn1 0.000 0.500 0.500 1
Au1 0.500 0.500 0.000 1
Se1 0.000 0.000 0.500 1

Entry 5:
# RbMn2SiAu | Alexandria via LeMat-Bulk | PBE | optimized geometry
# Uncorrected formation energy: 2.334 eV/atom
# M_tot: 1.573 μB per atom
data_RbMn2SiAu
_chemical_formula_sum 'Rb1 Mn2 Si1 Au1'
_cell_length_a 4.994
_cell_length_b 4.994
_cell_length_c 5.334
_cell_angle_alpha 90.00
_cell_angle_beta 90.00
_cell_angle_gamma 90.00
_symmetry_space_group_name_H-M 'P 4/m m m'
_symmetry_Int_Tables_number 123
_symmetry_space_group_name_Hall '-P 4 2'
loop_
_atom_site_label
_atom_site_fract_x
_atom_site_fract_y
_atom_site_fract_z
_atom_site_occupancy
Rb1 0.000 0.000 0.000 1
Mn1 0.000 0.500 0.000 1
Si1 0.000 0.000 0.500 1
Au1 0.500 0.500 0.500 1

Entry 6:
# RbTi2MnAu | Alexandria via LeMat-Bulk | PBE | optimized geometry
# M_tot: 0.000 μB per atom
# DFT formation energy: 0.944 eV/atom
data_RbTi2MnAu
_chemical_formula_sum 'Rb1 Ti2 Mn1 Au1'
_cell_length_a 4.490
_cell_length_b 4.490
_cell_length_c 6.123
_cell_angle_alpha 90.00
_cell_angle_beta 90.00
_cell_angle_gamma 90.00
_symmetry_space_group_name_H-M 'P 4/m m m'
_symmetry_Int_Tables_number 123
_symmetry_space_group_name_Hall '-P 4 2'
loop_
_atom_site_label
_atom_site_fract_x
_atom_site_fract_y
_atom_site_fract_z
_atom_site_occupancy
Rb1 0.000 0.000 0.000 1
Ti1 0.000 0.500 0.500 1
Mn1 0.000 0.000 0.500 1
Au1 0.500 0.500 0.000 1

Entry 7:
# Rb2MnVAu | Alexandria via LeMat-Bulk | PBE | optimized geometry
# M_tot: 0.053 μB per atom
# DFT formation energy: 1.020 eV/atom
data_Rb2MnVAu
_chemical_formula_sum 'Rb2 Mn1 V1 Au1'
_cell_length_a 6.525
_cell_length_b 6.525
_cell_length_c 5.176
_cell_angle_alpha 90.00
_cell_angle_beta 90.00
_cell_angle_gamma 90.00
_symmetry_space_group_name_H-M 'P 4/m m m'
_symmetry_Int_Tables_number 123
_symmetry_space_group_name_Hall '-P 4 2'
loop_
_atom_site_label
_atom_site_fract_x
_atom_site_fract_y
_atom_site_fract_z
_atom_site_occupancy
Rb1 0.000 0.500 0.000 1
Mn1 0.000 0.000 0.500 1
V1 0.500 0.500 0.500 1
Au1 0.500 0.500 0.000 1

Entry 8:
# MnReAu2 | Alexandria via LeMat-Bulk | PBE | optimized geometry
# M_tot: 0.625 μB per atom
# DFT formation energy: 0.286 eV/atom
data_MnReAu2
_chemical_formula_sum 'Mn1 Re1 Au2'
_cell_length_a 2.827
_cell_length_b 3.713
_cell_length_c 6.118
_cell_angle_alpha 90.00
_cell_angle_beta 90.00
_cell_angle_gamma 90.00
_symmetry_space_group_name_H-M 'P m m 2'
_symmetry_Int_Tables_number 25
_symmetry_space_group_name_Hall 'P 2 -2'
loop_
_atom_site_label
_atom_site_fract_x
_atom_site_fract_y
_atom_site_fract_z
_atom_site_occupancy
Mn1 0.000 0.000 0.000 1
Re1 0.500 0.500 0.191 1
Au1 0.000 0.000 0.458 1
Au2 0.500 0.500 0.738 1

Calculated calculated volume in order - 115.1 140.6 262.1 148.7 133.0 123.5 220.4 64.2 Å³/cell
Calculated uncorrected energy in order - -4.906 -4.175 -5.020 -4.852 -3.267 -4.897 -3.680 -6.757 eV/atom